NaPaBeN3 | PBE | relaxed

- crystal system = monoclinic
- E_form (uncorrected) (eV/atom) = -0.825
- SG = P2_1/m, No. 11
- mass density (kg/m3) = 5921
- DOS at the Fermi energy (states/eV/cell) = 5.6
- E_tot (eV for the cell shown) = -88.93

abc: 6.9535 3.4199 7.3267
angles: 90.00 100.84 90.00
With the nearest neighbours (Å) after each atom.
Positions (direct):
1 Na 0.1984 0.2500 0.1651  5 N 2.55-2.81
2 Na 0.8016 0.7500 0.8349  5 N 2.55-2.81
3 Pa 0.1982 0.2500 0.6570  6 N 2.22-2.39
4 Pa 0.8018 0.7500 0.3430  6 N 2.22-2.39
5 Be 0.4172 0.7500 0.9275  2 N 1.67-1.70
6 Be 0.5828 0.2500 0.0725  2 N 1.67-1.70
7 N 0.1478 0.7500 0.4570  3 Pa 2.24-2.39
8 N 0.1704 0.7500 0.8492  1 Be 1.70
9 N 0.4888 0.2500 0.8459  1 Be 1.67
10 N 0.5112 0.7500 0.1541  1 Be 1.67
11 N 0.8296 0.2500 0.1508  1 Be 1.70
12 N 0.8522 0.2500 0.5430  3 Pa 2.24-2.39

---

NaBeSeN2 | PBE | relaxed

- polymorph energy (0 for the lowest one) (meV/atom) = 0.0
- crystal system = tetragonal
- E_form (uncorrected) (eV/atom) = 0.976
- SG = P4/mmm, No. 123
- mass density (kg/m3) = 3592
- DOS at the Fermi energy (states/eV/cell) = 2.9
- E_tot (eV for the cell shown) = -20.30

abc: 3.6884 3.6884 4.7226
angles: 90.00 90.00 90.00
With the nearest neighbours (Å) after each atom.
Positions (direct):
1 Na 0.0000 0.0000 0.0000  4 Se 2.61
2 Be 0.5000 0.5000 0.5000  4 N 1.84
3 Se 0.5000 0.5000 0.0000  2 Be 2.36, 4 Na 2.61
4 N 0.0000 0.5000 0.5000  2 Be 1.84
5 N 0.5000 0.0000 0.5000  2 Be 1.84

---

- Which value of E_tot does entry 1 give?
  -88.93 eV for the cell shown